DFT (GGA-PBE) results for crystalline OsPb2 at its relaxed geometry.

a = 4.108 Å, b = 4.108 Å, c = 5.671 Å
α = 90.00°, β = 90.00°, γ = 120.00°
Atoms (fractional coordinates):
Os 0.000 0.000 0.000
Pb 0.667 0.333 0.751
Pb 0.333 0.667 0.249

Summary:
ΔE_f, eV/atom: 0.904
Total moment, μB per atom: 0.0000
Crystal system: trigonal
Symmetry: P-3m1